1.
Here is an optimized crystal structure of Pm4ErTh from Alexandria via LeMat-Bulk. Energies are from PBE.

abc: 6.602 6.602 6.602
angles: 60.00 60.00 60.00
Site moments in Bohr magnetons follow the coordinates.
Positions (direct):
Pm: 0.625 0.625 0.125  0.09
Pm: 0.125 0.625 0.625  0.09
Pm: 0.625 0.125 0.625  0.09
Pm: 0.625 0.625 0.625  0.09
Th: 0.250 0.250 0.250  0.23
Er: 0.000 0.000 0.000  0.17

Its energy relative to the elements is 327 meV/atom. The density of states at the Fermi level comes out at 2.189 states/eV per atom.

***

2.
Here is an optimized crystal structure of Pm7Er3Th from Alexandria via LeMat-Bulk. Energies are from PBE.

abc: 8.661 7.180 7.180
angles: 120.00 90.00 90.00
Positions (direct):
Pm: 0.455 0.832 0.168
Pm: 0.455 0.832 0.665
Pm: 0.115 0.667 0.333
Pm: 0.116 0.170 0.339
Pm: 0.116 0.661 0.830
Pm: 0.455 0.335 0.168
Pm: 0.116 0.170 0.830
Er: 0.779 0.498 0.502
Er: 0.779 0.498 0.995
Er: 0.779 0.005 0.502
Th: 0.451 0.333 0.667

Its energy relative to the elements is 194 meV/atom. The density of states at the Fermi level comes out at 1.652 states/eV per atom.

***

no.,offset from the most stable computed form (meV per atom)
1,267.4
2,66.3